No. 1
# GGA-PBE CaNd2Zn2Ga2, optimized geometry
# density	5.81	g cm⁻³
# volume	24.46	Å³ per atom
# energy of formation from the pure elements	-0.38	eV per atom
data_CaNd2Zn2Ga2
_chemical_formula_sum 'Ca3 Nd6 Zn6 Ga6'
_cell_length_a 4.5267
_cell_length_b 4.5267
_cell_length_c 28.9406
_cell_angle_alpha 90.00
_cell_angle_beta 90.00
_cell_angle_gamma 120.00
_symmetry_space_group_name_H-M 'R -3 m'
_symmetry_Int_Tables_number 166
_symmetry_space_group_name_Hall '-R 3 2"'
loop_
_atom_site_label
_atom_site_type_symbol
_atom_site_fract_x
_atom_site_fract_y
_atom_site_fract_z
_atom_site_occupancy
Ca1 Ca 0.0000 0.0000 0.0000 1
Nd1 Nd 0.0000 0.0000 0.1261 1
Zn1 Zn 0.0000 0.0000 0.4012 1
Ga1 Ga 0.0000 0.0000 0.2606 1

No. 2
# GGA-PBE CaNdZnGa, optimized geometry
# density	5.31	g cm⁻³
# volume	24.99	Å³ per atom
# energy of formation from the pure elements	-0.42	eV per atom
data_CaNdZnGa
_chemical_formula_sum 'Ca4 Nd4 Zn4 Ga4'
_cell_length_a 7.367
_cell_length_b 7.367
_cell_length_c 7.367
_cell_angle_alpha 90.00
_cell_angle_beta 90.00
_cell_angle_gamma 90.00
_symmetry_space_group_name_H-M 'F -4 3 m'
_symmetry_Int_Tables_number 216
_symmetry_space_group_name_Hall 'F -4 2 3'
loop_
_atom_site_label
_atom_site_type_symbol
_atom_site_fract_x
_atom_site_fract_y
_atom_site_fract_z
_atom_site_occupancy
Ca1 Ca 0.000 0.000 0.000 1
Nd1 Nd 0.000 0.000 0.500 1
Zn1 Zn 0.250 0.250 0.750 1
Ga1 Ga 0.250 0.250 0.250 1

No. 3
# GGA-PBE CaGaNi3, optimized geometry
# density	5.36	g cm⁻³
# volume	17.70	Å³ per atom
# energy of formation from the pure elements	0.15	eV per atom
# energy relative to the lowest polymorph listed for this composition	394	meV per atom
data_CaGaNi3
_chemical_formula_sum 'Ca1 Ga1 Ni3'
_cell_length_a 4.457
_cell_length_b 4.457
_cell_length_c 4.457
_cell_angle_alpha 90.00
_cell_angle_beta 90.00
_cell_angle_gamma 90.00
_symmetry_space_group_name_H-M 'P m -3 m'
_symmetry_Int_Tables_number 221
_symmetry_space_group_name_Hall '-P 4 2 3'
loop_
_atom_site_label
_atom_site_type_symbol
_atom_site_fract_x
_atom_site_fract_y
_atom_site_fract_z
_atom_site_occupancy
Ca1 Ca 0.000 0.000 0.000 1
Ga1 Ga 0.500 0.500 0.500 1
Ni1 Ni 0.000 0.500 0.500 1